Entry 1:
Compound: KBa2TlPt
Source: Alexandria via LeMat-Bulk
Functional: PBE
Structure: relaxed

- offset from the most stable computed form (kJ/mol of formula units) = 18.7
- formation energy (kJ/mol of formula units) = -127.8
- density (kg/m3) = 5139
- total DFT energy (no corrections) (eV for the cell shown) = -14.7

a b c (Å): 6.115 6.115 6.164
angles (deg): 90.00 90.00 90.00
Atoms (fractional coordinates):
K1 0.000 0.000 0.000
Ba1 0.000 0.500 0.500
Ba2 0.500 0.000 0.500
Tl1 0.500 0.500 0.000
Pt1 0.000 0.000 0.500

=====

Entry 2:
Compound: HgSbIr2
Source: Alexandria via LeMat-Bulk
Functional: PBE
Structure: relaxed

- offset from the most stable computed form (kJ/mol of formula units) = 11.4
- energy relative to the elements, uncorrected (eV per atom) = 0.353
- density (kg/m3) = 15084
- total DFT energy (no corrections) (eV for the cell shown) = -20.7

a b c (Å): 3.008 3.008 8.600
angles (deg): 90.00 90.00 90.00
Atoms (fractional coordinates):
Hg1 0.000 0.000 0.000
Sb1 0.500 0.500 0.650
Ir1 0.000 0.000 0.436
Ir2 0.500 0.500 0.233

=====

Entry 3:
Compound: Mg3TaMn
Source: Alexandria via LeMat-Bulk
Functional: PBE
Structure: relaxed

- offset from the most stable computed form (kJ/mol of formula units) = 0.0
- formation energy (kJ/mol of formula units) = 654.7
- density (kg/m3) = 5088
- total DFT energy (no corrections) (eV for the cell shown) = -19.0

a b c (Å): 4.654 4.654 4.654
angles (deg): 90.00 90.00 90.00
Atoms (fractional coordinates):
Mg1 0.000 0.000 0.500
Mg2 0.000 0.500 0.000
Mg3 0.500 0.000 0.000
Ta1 0.500 0.500 0.500
Mn1 0.000 0.000 0.000

=====

Entry 4:
Compound: BaTcTe2
Source: Alexandria via LeMat-Bulk
Functional: PBE
Structure: relaxed

- offset from the most stable computed form (kJ/mol of formula units) = 204.1
- energy relative to the elements, uncorrected (eV per atom) = 0.018
- density (kg/m3) = 7560
- total DFT energy (no corrections) (eV for the cell shown) = -18.5

a b c (Å): 5.341 5.341 5.341
angles (deg): 60.00 60.00 60.00
Atoms (fractional coordinates):
Ba1 0.000 0.000 0.000
Tc1 0.500 0.500 0.500
Te1 0.250 0.250 0.250
Te2 0.750 0.750 0.750

=====

Entry 5:
Compound: TbCeGa2Pd5
Source: Alexandria via LeMat-Bulk
Functional: PBE
Structure: relaxed

- formation energy (kJ/mol of formula units) = -673.8
- density (kg/m3) = 9714
- total DFT energy (no corrections) (eV for the cell shown) = -49.6

a b c (Å): 4.234 4.234 9.255
angles (deg): 90.00 90.00 90.00
Atoms (fractional coordinates):
Tb1 0.000 0.000 0.000
Ce1 0.000 0.000 0.500
Ga1 0.500 0.500 0.134
Ga2 0.500 0.500 0.866
Pd1 0.000 0.500 0.279
Pd2 0.000 0.500 0.721
Pd3 0.500 0.000 0.279
Pd4 0.500 0.000 0.721
Pd5 0.500 0.500 0.500

=====

Entry 6:
Compound: AlCu2Sb
Source: Alexandria via LeMat-Bulk
Functional: PBE
Structure: relaxed

- offset from the most stable computed form (kJ/mol of formula units) = 46.3
- energy relative to the elements, uncorrected (eV per atom) = 0.153
- density (kg/m3) = 6941
- total DFT energy (no corrections) (eV for the cell shown) = -15.4

a b c (Å): 5.031 5.031 5.031
angles (deg): 133.44 133.44 67.96
Atoms (fractional coordinates):
Al1 0.000 0.000 0.000
Cu1 0.250 0.750 0.500
Cu2 0.500 0.500 0.000
Sb1 0.750 0.250 0.500

=====

Entry 7:
Compound: RbLi2SnBr8
Source: Alexandria via LeMat-Bulk
Functional: PBE
Structure: relaxed

- energy relative to the elements, uncorrected (eV per atom) = -0.996
- density (kg/m3) = 3683
- total DFT energy (no corrections) (eV for the cell shown) = -34.1

a b c (Å): 6.118 7.063 9.430
angles (deg): 85.41 72.56 84.85
Atoms (fractional coordinates):
Rb1 0.000 0.000 0.000
Li1 0.215 0.577 0.300
Li2 0.785 0.423 0.700
Sn1 0.500 0.000 0.500
Br1 0.175 0.808 0.668
Br2 0.224 0.329 0.525
Br3 0.243 0.503 0.024
Br4 0.411 0.899 0.252
Br5 0.589 0.101 0.748
Br6 0.757 0.497 0.976
Br7 0.776 0.671 0.475
Br8 0.825 0.192 0.332

=====

Entry 8:
Compound: NdDy2Tl4
Source: Alexandria via LeMat-Bulk
Functional: PBE
Structure: relaxed

- offset from the most stable computed form (kJ/mol of formula units) = 67.3
- formation energy (kJ/mol of formula units) = -82.8
- density (kg/m3) = 10022
- total DFT energy (no corrections) (eV for the cell shown) = -24.3

a b c (Å): 10.621 10.621 10.621
angles (deg): 26.70 26.70 26.70
Atoms (fractional coordinates):
Nd1 0.000 0.000 0.000
Dy1 0.130 0.130 0.130
Dy2 0.870 0.870 0.870
Tl1 0.242 0.242 0.242
Tl2 0.385 0.385 0.385
Tl3 0.615 0.615 0.615
Tl4 0.758 0.758 0.758

=====

Please write out number 2 again, unchanged.
Compound: HgSbIr2
Source: Alexandria via LeMat-Bulk
Functional: PBE
Structure: relaxed

- offset from the most stable computed form (kJ/mol of formula units) = 11.4
- energy relative to the elements, uncorrected (eV per atom) = 0.353
- density (kg/m3) = 15084
- total DFT energy (no corrections) (eV for the cell shown) = -20.7

a b c (Å): 3.008 3.008 8.600
angles (deg): 90.00 90.00 90.00
Atoms (fractional coordinates):
Hg1 0.000 0.000 0.000
Sb1 0.500 0.500 0.650
Ir1 0.000 0.000 0.436
Ir2 0.500 0.500 0.233